Entry 1:
Density functional theory data (PBE-GGA) for a relaxed structure of YGa6Pt12.

The structure in CIF format:
```
data_YGa6Pt12
_cell_length_a 11.6826
_cell_length_b 11.6826
_cell_length_c 8.2973
_cell_angle_alpha 90.00
_cell_angle_beta 90.00
_cell_angle_gamma 120.00
_space_group_name_H-M_alt 'R -3 m'
_space_group_IT_number 166
_space_group_name_Hall '-R 3 2"'
loop_
_atom_site_label
_atom_site_type_symbol
_atom_site_fract_x
_atom_site_fract_y
_atom_site_fract_z
Y1 Y 0.0000 0.0000 0.0000
Ga1 Ga 0.0512 0.5256 0.2513
Pt1 Pt 0.0000 0.3757 0.5000
Pt2 Pt 0.0794 0.1587 0.3023
```

Properties
**Energy of formation from the pure elements**: -0.56 eV/atom
**Energy**: -0.417 Ry/atom

Entry 2:
Density functional theory data (PBE-GGA) for a relaxed structure of ZrFeAs4.

The structure in CIF format:
```
data_ZrFeAs4
_cell_length_a 7.691
_cell_length_b 7.691
_cell_length_c 7.691
_cell_angle_alpha 90.00
_cell_angle_beta 90.00
_cell_angle_gamma 90.00
_space_group_name_H-M_alt 'F -4 3 m'
_space_group_IT_number 216
_space_group_name_Hall 'F -4 2 3'
loop_
_atom_site_label
_atom_site_type_symbol
_atom_site_fract_x
_atom_site_fract_y
_atom_site_fract_z
Zr1 Zr 0.000 0.000 0.000
Fe1 Fe 0.250 0.250 0.250
As1 As 0.124 0.124 0.624
```

Properties
**Energy of formation from the pure elements**: 0.39 eV/atom
**Energy**: -0.407 Ry/atom

Entry 3:
Density functional theory data (PBE-GGA) for a relaxed structure of Zn2CdAg7.

The structure in CIF format:
```
data_Zn2CdAg7
_cell_length_a 7.519
_cell_length_b 12.952
_cell_length_c 4.634
_cell_angle_alpha 90.00
_cell_angle_beta 90.00
_cell_angle_gamma 90.00
_space_group_name_H-M_alt 'C m m m'
_space_group_IT_number 65
_space_group_name_Hall '-C 2 2'
loop_
_atom_site_label
_atom_site_type_symbol
_atom_site_fract_x
_atom_site_fract_y
_atom_site_fract_z
Zn1 Zn 0.000 0.200 0.000
Cd1 Cd 0.000 0.500 0.500
Ag1 Ag 0.000 0.000 0.000
Ag2 Ag 0.000 0.287 0.500
Ag3 Ag 0.184 0.385 0.000
```

Properties
**Energy of formation from the pure elements**: 0.23 eV/atom
**Energy above the lowest structure with this stoichiometry**: 0.090 eV/atom
**Energy**: -0.155 Ry/atom

Entry 4:
Density functional theory data (PBE-GGA) for a relaxed structure of HfCr2Hg2.

The structure in CIF format:
```
data_HfCr2Hg2
_cell_length_a 7.637
_cell_length_b 7.637
_cell_length_c 3.069
_cell_angle_alpha 90.00
_cell_angle_beta 90.00
_cell_angle_gamma 90.00
_space_group_name_H-M_alt 'P 4/m b m'
_space_group_IT_number 127
_space_group_name_Hall '-P 4 2ab'
loop_
_atom_site_label
_atom_site_type_symbol
_atom_site_fract_x
_atom_site_fract_y
_atom_site_fract_z
Hf1 Hf 0.000 0.000 0.000
Cr1 Cr 0.089 0.411 0.000
Hg1 Hg 0.198 0.698 0.500
```

Properties
**Energy of formation from the pure elements**: 0.51 eV/atom
**Energy above the lowest structure with this stoichiometry**: 0.061 eV/atom
**Energy**: -0.401 Ry/atom

Entry 5:
Density functional theory data (PBE-GGA) for a relaxed structure of Gd3ZnH.

The structure in CIF format:
```
data_Gd3ZnH
_cell_length_a 4.822
_cell_length_b 4.822
_cell_length_c 4.822
_cell_angle_alpha 90.00
_cell_angle_beta 90.00
_cell_angle_gamma 90.00
_space_group_name_H-M_alt 'P m -3 m'
_space_group_IT_number 221
_space_group_name_Hall '-P 4 2 3'
loop_
_atom_site_label
_atom_site_type_symbol
_atom_site_fract_x
_atom_site_fract_y
_atom_site_fract_z
Gd1 Gd 0.000 0.000 0.500
Zn1 Zn 0.500 0.500 0.500
H1 H 0.000 0.000 0.000
```

Properties
**Energy**: -0.705 Ry/atom

Entry 6:
Density functional theory data (PBE-GGA) for a relaxed structure of Sr4TlZn3.

The structure in CIF format:
```
data_Sr4TlZn3
_cell_length_a 3.959
_cell_length_b 5.622
_cell_length_c 11.218
_cell_angle_alpha 90.00
_cell_angle_beta 90.00
_cell_angle_gamma 90.00
_space_group_name_H-M_alt 'P m m m'
_space_group_IT_number 47
loop_
_space_group_symop_operation_xyz
'x,y,z'
'-x,-y,-z'
'-x,-y,z'
'x,y,-z'
'x,-y,-z'
'-x,y,z'
'-x,y,-z'
'x,-y,z'
loop_
_atom_site_label
_atom_site_type_symbol
_atom_site_fract_x
_atom_site_fract_y
_atom_site_fract_z
Sr1 Sr 0.000 0.000 0.000
Sr2 Sr 0.000 0.000 0.500
Sr3 Sr 0.000 0.500 0.244
Tl1 Tl 0.500 0.500 0.500
Zn1 Zn 0.500 0.000 0.250
Zn2 Zn 0.500 0.500 0.000
```

Properties
**Energy of formation from the pure elements**: -0.24 eV/atom
**Energy above the lowest structure with this stoichiometry**: 0.000 eV/atom
**Energy**: -0.136 Ry/atom

Entry 7:
Density functional theory data (PBE-GGA) for a relaxed structure of UPaGeOs.

The structure in CIF format:
```
data_UPaGeOs
_cell_length_a 6.791
_cell_length_b 6.791
_cell_length_c 6.791
_cell_angle_alpha 90.00
_cell_angle_beta 90.00
_cell_angle_gamma 90.00
_space_group_name_H-M_alt 'F -4 3 m'
_space_group_IT_number 216
_space_group_name_Hall 'F -4 2 3'
loop_
_atom_site_label
_atom_site_type_symbol
_atom_site_fract_x
_atom_site_fract_y
_atom_site_fract_z
U1 U 0.000 0.000 0.000
Pa1 Pa 0.250 0.250 0.750
Ge1 Ge 0.250 0.250 0.250
Os1 Os 0.000 0.000 0.500
```

Properties
**Energy of formation from the pure elements**: 0.10 eV/atom
**Energy**: -0.666 Ry/atom

Entry 8:
Density functional theory data (PBE-GGA) for a relaxed structure of Dy6Ho8Th.

The structure in CIF format:
```
data_Dy6Ho8Th
_cell_length_a 8.9869
_cell_length_b 8.9869
_cell_length_c 20.5184
_cell_angle_alpha 90.00
_cell_angle_beta 90.00
_cell_angle_gamma 120.00
_space_group_name_H-M_alt 'R -3'
_space_group_IT_number 148
_space_group_name_Hall '-R 3'
loop_
_atom_site_label
_atom_site_type_symbol
_atom_site_fract_x
_atom_site_fract_y
_atom_site_fract_z
Dy1 Dy 0.0604 0.8142 0.2088
Ho1 Ho 0.0000 0.0000 0.0771
Ho2 Ho 0.0817 0.5256 0.3063
Th1 Th 0.0000 0.0000 0.5000
```

Properties
**Energy of formation from the pure elements**: 0.13 eV/atom
**Energy**: -0.342 Ry/atom

Entry 9:
Density functional theory data (PBE-GGA) for a relaxed structure of Mg2ZrCu.

The structure in CIF format:
```
data_Mg2ZrCu
_cell_length_a 2.999
_cell_length_b 4.933
_cell_length_c 10.405
_cell_angle_alpha 90.00
_cell_angle_beta 90.00
_cell_angle_gamma 90.00
_space_group_name_H-M_alt 'I m m m'
_space_group_IT_number 71
_space_group_name_Hall '-I 2 2'
loop_
_atom_site_label
_atom_site_type_symbol
_atom_site_fract_x
_atom_site_fract_y
_atom_site_fract_z
Mg1 Mg 0.000 0.000 0.216
Zr1 Zr 0.000 0.500 0.000
Cu1 Cu 0.000 0.500 0.500
```

Properties
**Energy of formation from the pure elements**: 0.02 eV/atom
**Energy**: -0.289 Ry/atom

Entry 10:
Density functional theory data (PBE-GGA) for a relaxed structure of HfPaCo2.

The structure in CIF format:
```
data_HfPaCo2
_cell_length_a 4.061
_cell_length_b 3.386
_cell_length_c 9.941
_cell_angle_alpha 90.00
_cell_angle_beta 90.00
_cell_angle_gamma 90.00
_space_group_name_H-M_alt 'A m m 2'
_space_group_IT_number 38
loop_
_space_group_symop_operation_xyz
'x,y,z'
'-x,-y,z'
'-x,y,z'
'x,-y,z'
'x,y+1/2,z+1/2'
'-x,-y+1/2,z+1/2'
'-x,y+1/2,z+1/2'
'x,-y+1/2,z+1/2'
loop_
_atom_site_label
_atom_site_type_symbol
_atom_site_fract_x
_atom_site_fract_y
_atom_site_fract_z
Hf1 Hf 0.000 0.000 0.000
Pa1 Pa 0.500 0.000 0.276
Co1 Co 0.000 0.000 0.731
Co2 Co 0.500 0.000 0.548
```

Properties
**Energy of formation from the pure elements**: -0.44 eV/atom
**Energy above the lowest structure with this stoichiometry**: 0.013 eV/atom
**Energy**: -0.651 Ry/atom

Entry 11:
Density functional theory data (PBE-GGA) for a relaxed structure of NbSeIN2.

The structure in CIF format:
```
data_NbSeIN2
_cell_length_a 4.063
_cell_length_b 4.063
_cell_length_c 6.209
_cell_angle_alpha 90.00
_cell_angle_beta 90.00
_cell_angle_gamma 90.00
_space_group_name_H-M_alt 'P 4/m m m'
_space_group_IT_number 123
_space_group_name_Hall '-P 4 2'
loop_
_atom_site_label
_atom_site_type_symbol
_atom_site_fract_x
_atom_site_fract_y
_atom_site_fract_z
Nb1 Nb 0.000 0.000 0.000
Se1 Se 0.500 0.500 0.500
I1 I 0.000 0.000 0.500
N1 N 0.000 0.500 0.000
```

Properties
**Formation energy without anion corrections**: 0.61 eV/atom
**Energy above the lowest structure with this stoichiometry**: 0.147 eV/atom
**Energy**: -0.422 Ry/atom

Entry 12:
Density functional theory data (PBE-GGA) for a relaxed structure of Th4SbTe2.

The structure in CIF format:
```
data_Th4SbTe2
_cell_length_a 4.105
_cell_length_b 14.633
_cell_length_c 15.155
_cell_angle_alpha 90.00
_cell_angle_beta 90.00
_cell_angle_gamma 90.00
_space_group_name_H-M_alt 'C m c m'
_space_group_IT_number 63
_space_group_name_Hall '-C 2c 2'
loop_
_atom_site_label
_atom_site_type_symbol
_atom_site_fract_x
_atom_site_fract_y
_atom_site_fract_z
Th1 Th 0.000 0.000 0.000
Th2 Th 0.000 0.298 0.141
Th3 Th 0.000 0.407 0.750
Sb1 Sb 0.000 0.071 0.750
Te1 Te 0.000 0.347 0.556
```

Properties
**Formation energy without anion corrections**: -0.66 eV/atom
**Energy above the lowest structure with this stoichiometry**: 0.143 eV/atom
**Energy**: -0.469 Ry/atom

Q: What is the energy in the first record?
A: -0.417 Ry/atom

Q: Among the records above, which one has the highest energy?
A: Sr4TlZn3

Q: The highest energy belongs to which entry?
A: Sr4TlZn3

Q: What is the energy in the second record?
A: -0.407 Ry/atom